The following is a DFT calculation (GGA-PBE) of crystalline ZnSn2Pd4 at its relaxed geometry.

For the formation energy, the calculation gives -0.384 eV per atom. The density of states at the Fermi level is 6.81 states/eV per cell. As for the space group: P2_1/m, No. 11.

Structure (POSCAR):
```
ZnSn2Pd4
1.0
6.990 0.000 0.000
0.000 5.746 0.000
-3.175 0.000 6.228
Zn Sn Pd
2 4 8
Cartesian
0.099 1.436 2.795
3.717 4.309 3.433
0.122 4.309 2.480
2.593 1.436 0.768
1.222 4.309 5.460
3.693 1.436 3.749
0.044 1.436 0.235
-1.109 2.898 4.605
-1.109 5.720 4.605
2.411 4.309 1.127
1.404 1.436 5.101
4.924 0.026 1.623
4.924 2.847 1.623
3.771 4.309 5.993
```


The following is a DFT calculation (GGA-PBE) of crystalline ZnSnPd4 at its relaxed geometry.

The excess energy over the best structure of this formula in the dataset comes out at 10 meV/atom. For the formation energy, the calculation gives -0.439 eV per atom. The density of states at the Fermi level is 1.89 states/eV per cell. As for the space group: C2/m, No. 12.

Structure (POSCAR):
```
ZnSnPd4
1.0
2.379 -4.361 0.000
2.379 4.361 0.000
-1.117 0.000 4.616
Zn Sn Pd
1 1 4
Cartesian
0.000 0.000 0.000
1.821 0.000 2.308
1.821 2.964 2.308
2.379 1.412 0.000
2.379 -1.412 0.000
1.821 -2.964 2.308
```